VASP calculation (PBE-GGA) on a relaxed structure of PmNdDyTl. Values from VASP.

Structure (Quantum ESPRESSO input):
```
&SYSTEM
  ibrav = 0, nat = 4, ntyp = 4
/
ATOMIC_SPECIES
Pm 145.00 Pm.upf
Nd 144.24 Nd.upf
Dy 162.50 Dy.upf
Tl 204.38 Tl.upf
CELL_PARAMETERS angstrom
4.894 0.000 0.000
0.000 4.911 0.000
0.000 0.000 5.009
ATOMIC_POSITIONS crystal
Pm 0.000 0.000 0.000
Nd 0.500 0.500 0.000
Dy 0.000 0.500 0.500
Tl 0.500 0.000 0.500
```

Calculated values
ΔE to the lowest computed polymorph = 0.000 eV per atom
Crystal system = orthorhombic
Energy relative to the elements = -0.194 eV per atom

VASP calculation (PBE-GGA) on a relaxed structure of Pm4NdIr2. Values from VASP.

Structure (Quantum ESPRESSO input):
```
&SYSTEM
  ibrav = 0, nat = 14, ntyp = 3
/
ATOMIC_SPECIES
Pm 145.00 Pm.upf
Nd 144.24 Nd.upf
Ir 192.22 Ir.upf
CELL_PARAMETERS angstrom
9.353 0.000 0.000
0.000 9.353 0.000
0.000 0.000 4.680
ATOMIC_POSITIONS crystal
Pm 0.039 0.297 0.000
Pm 0.203 0.539 0.500
Pm 0.297 0.039 0.000
Pm 0.461 0.797 0.500
Pm 0.539 0.203 0.500
Pm 0.703 0.961 0.000
Pm 0.797 0.461 0.500
Pm 0.961 0.703 0.000
Nd 0.000 0.000 0.500
Nd 0.500 0.500 0.000
Ir 0.219 0.219 0.500
Ir 0.281 0.719 0.000
Ir 0.719 0.281 0.000
Ir 0.781 0.781 0.500
```

Calculated values
Crystal system = tetragonal
Energy relative to the elements = -0.408 eV per atom

VASP calculation (PBE-GGA) on a relaxed structure of GaGeH2Pd. Values from VASP.

Structure (Quantum ESPRESSO input):
```
&SYSTEM
  ibrav = 0, nat = 5, ntyp = 4
/
ATOMIC_SPECIES
Ga 69.72 Ga.upf
Ge 72.64 Ge.upf
H 1.01 H.upf
Pd 106.42 Pd.upf
CELL_PARAMETERS angstrom
3.559 0.000 0.000
0.000 3.559 0.000
0.000 0.000 5.338
ATOMIC_POSITIONS crystal
Ga 0.000 0.000 0.000
Ge 0.500 0.500 0.500
H 0.000 0.500 0.500
H 0.500 0.000 0.500
Pd 0.500 0.500 0.000
```

Calculated values
Crystal system = tetragonal
Final energy = -19.14 eV per cell

VASP calculation (PBE-GGA) on a relaxed structure of CeIn2. Values from VASP.

Structure (Quantum ESPRESSO input):
```
&SYSTEM
  ibrav = 0, nat = 3, ntyp = 2
/
ATOMIC_SPECIES
Ce 140.12 Ce.upf
In 114.82 In.upf
CELL_PARAMETERS angstrom
3.206 -3.050 0.000
3.206 3.050 0.000
-1.864 0.000 4.495
ATOMIC_POSITIONS crystal
Ce 0.000 0.000 0.000
In 0.359 0.359 0.674
In 0.641 0.641 0.326
```

Calculated values
Crystal system = monoclinic
Energy relative to the elements = -0.139 eV per atom

VASP calculation (PBE-GGA) on a relaxed structure of CsGe2Sb2. Values from VASP.

Structure (Quantum ESPRESSO input):
```
&SYSTEM
  ibrav = 0, nat = 10, ntyp = 3
/
ATOMIC_SPECIES
Cs 132.91 Cs.upf
Ge 72.64 Ge.upf
Sb 121.76 Sb.upf
CELL_PARAMETERS angstrom
9.094 0.000 0.000
0.000 9.094 0.000
0.000 0.000 3.767
ATOMIC_POSITIONS crystal
Cs 0.000 0.000 0.000
Cs 0.500 0.500 0.000
Ge 0.113 0.387 0.000
Ge 0.387 0.887 0.000
Ge 0.613 0.113 0.000
Ge 0.887 0.613 0.000
Sb 0.140 0.640 0.500
Sb 0.360 0.140 0.500
Sb 0.640 0.860 0.500
Sb 0.860 0.360 0.500
```

Calculated values
ΔE_f (raw) = 0.0420 eV/atom
ΔE to the lowest computed polymorph = 0.171 eV per atom
Crystal system = tetragonal

VASP calculation (PBE-GGA) on a relaxed structure of BeAg2Pb. Values from VASP.

Structure (Quantum ESPRESSO input):
```
&SYSTEM
  ibrav = 0, nat = 4, ntyp = 3
/
ATOMIC_SPECIES
Be 9.01 Be.upf
Ag 107.87 Ag.upf
Pb 207.20 Pb.upf
CELL_PARAMETERS angstrom
2.166 -2.170 0.000
2.166 2.170 0.000
0.000 0.000 8.007
ATOMIC_POSITIONS crystal
Be 0.000 0.000 0.000
Ag 0.500 0.500 0.177
Ag 0.500 0.500 0.823
Pb 0.000 0.000 0.500
```

Calculated values
ΔE to the lowest computed polymorph = 0.000 eV per atom
Crystal system = orthorhombic
Energy relative to the elements = 0.212 eV per atom

VASP calculation (PBE-GGA) on a relaxed structure of VCuSi2. Values from VASP.

Structure (Quantum ESPRESSO input):
```
&SYSTEM
  ibrav = 0, nat = 4, ntyp = 3
/
ATOMIC_SPECIES
V 50.94 V.upf
Cu 63.55 Cu.upf
Si 28.09 Si.upf
CELL_PARAMETERS angstrom
0.000 2.970 2.970
2.970 0.000 2.970
2.970 2.970 0.000
ATOMIC_POSITIONS crystal
V 0.000 0.000 0.000
Cu 0.500 0.500 0.500
Si 0.250 0.250 0.250
Si 0.750 0.750 0.750
```

Calculated values
ΔE_f (raw) = 0.1657 eV/atom
Crystal system = cubic

VASP calculation (PBE-GGA) on a relaxed structure of CuIrN2F. Values from VASP.

Structure (Quantum ESPRESSO input):
```
&SYSTEM
  ibrav = 0, nat = 5, ntyp = 4
/
ATOMIC_SPECIES
Cu 63.55 Cu.upf
Ir 192.22 Ir.upf
N 14.01 N.upf
F 19.00 F.upf
CELL_PARAMETERS angstrom
3.866 0.000 0.000
0.000 3.866 0.000
0.000 0.000 3.574
ATOMIC_POSITIONS crystal
Cu 0.000 0.000 0.000
Ir 0.500 0.500 0.500
N 0.000 0.500 0.000
N 0.500 0.000 0.000
F 0.000 0.000 0.500
```

Calculated values
ΔE_f (raw) = 1.5032 eV/atom
ΔE to the lowest computed polymorph = 0.810 eV per atom
Crystal system = tetragonal

VASP calculation (PBE-GGA) on a relaxed structure of BaZr2Pb. Values from VASP.

Structure (Quantum ESPRESSO input):
```
&SYSTEM
  ibrav = 0, nat = 4, ntyp = 3
/
ATOMIC_SPECIES
Ba 137.33 Ba.upf
Zr 91.22 Zr.upf
Pb 207.20 Pb.upf
CELL_PARAMETERS angstrom
4.874 0.000 0.000
0.000 4.874 0.000
0.000 0.000 4.653
ATOMIC_POSITIONS crystal
Ba 0.000 0.000 0.000
Zr 0.000 0.500 0.500
Zr 0.500 0.000 0.500
Pb 0.500 0.500 0.000
```

Calculated values
Crystal system = tetragonal
Energy relative to the elements = 0.319 eV per atom

VASP calculation (PBE-GGA) on a relaxed structure of SrNi2H7. Values from VASP.

Structure (Quantum ESPRESSO input):
```
&SYSTEM
  ibrav = 0, nat = 10, ntyp = 3
/
ATOMIC_SPECIES
Sr 87.62 Sr.upf
Ni 58.69 Ni.upf
H 1.01 H.upf
CELL_PARAMETERS angstrom
2.405 -4.602 0.000
2.405 4.602 0.000
0.000 0.000 3.536
ATOMIC_POSITIONS crystal
Sr 0.000 0.000 0.000
Ni 0.317 0.683 0.500
Ni 0.683 0.317 0.500
H 0.013 0.331 0.500
H 0.331 0.013 0.500
H 0.334 0.666 0.000
H 0.500 0.500 0.500
H 0.666 0.334 0.000
H 0.669 0.987 0.500
H 0.987 0.669 0.500
```

Calculated values
Crystal system = orthorhombic
Final energy = -38.49 eV per cell

VASP calculation (PBE-GGA) on a relaxed structure of BeVBi3. Values from VASP.

Structure (Quantum ESPRESSO input):
```
&SYSTEM
  ibrav = 0, nat = 5, ntyp = 3
/
ATOMIC_SPECIES
Be 9.01 Be.upf
V 50.94 V.upf
Bi 208.98 Bi.upf
CELL_PARAMETERS angstrom
5.095 0.000 0.000
0.000 5.095 0.000
0.000 0.000 5.095
ATOMIC_POSITIONS crystal
Be 0.000 0.000 0.000
V 0.500 0.500 0.500
Bi 0.000 0.000 0.500
Bi 0.000 0.500 0.000
Bi 0.500 0.000 0.000
```

Calculated values
ΔE to the lowest computed polymorph = 0.000 eV per atom
Crystal system = cubic
Energy relative to the elements = 0.818 eV per atom

VASP calculation (PBE-GGA) on a relaxed structure of SrGa3PtAu. Values from VASP.

Structure (Quantum ESPRESSO input):
```
&SYSTEM
  ibrav = 0, nat = 12, ntyp = 4
/
ATOMIC_SPECIES
Sr 87.62 Sr.upf
Ga 69.72 Ga.upf
Pt 195.08 Pt.upf
Au 196.97 Au.upf
CELL_PARAMETERS angstrom
3.253 -6.562 0.000
3.253 6.562 0.000
0.000 0.000 6.644
ATOMIC_POSITIONS crystal
Sr 0.235 0.765 0.750
Sr 0.765 0.235 0.250
Ga 0.196 0.804 0.250
Ga 0.290 0.290 0.000
Ga 0.290 0.290 0.500
Ga 0.710 0.710 0.000
Ga 0.710 0.710 0.500
Ga 0.804 0.196 0.750
Pt 0.017 0.983 0.250
Pt 0.983 0.017 0.750
Au 0.380 0.620 0.250
Au 0.620 0.380 0.750
```

Calculated values
Crystal system = orthorhombic
Energy relative to the elements = -0.442 eV per atom

Computed values of DOS(E_F) (unit: states/eV/atom) for the preceding records, in sequence: 1.564; 1.010; 0.225; 2.601; 0.488; 0.262; 0.938; 1.236; 0.823; 0.138; 1.210; 0.435.